First-principles (PBE-GGA) data for an optimized crystal structure of Li3Ti3NiSe8, as listed in the Alexandria database.

- Energy relative to the elements, uncorrected: -15.19 eV/f.u.
- VASP energy: -5.22 eV/atom
- Density: 4.8 g/cm³
- Symmetry: R-3m

Cell lengths 7.273, 7.271, 7.708 Å; angles 118.12, 90.00, 120.02 degrees
Fractional coordinates of all 15 atoms:
1 Ni 0.000 0.000 0.500
2 Se 0.238 0.988 0.726
3 Se 0.762 0.524 0.274
4 Se 0.254 0.508 0.262
5 Se 0.250 0.012 0.274
6 Se 0.762 0.012 0.274
7 Se 0.750 0.988 0.726
8 Se 0.238 0.476 0.726
9 Se 0.746 0.492 0.738
10 Ti 0.500 0.500 0.500
11 Ti 0.000 0.500 0.500
12 Ti 0.500 0.000 0.500
13 Li 0.000 0.500 0.000
14 Li 0.500 0.500 0.000
15 Li 0.000 0.000 0.000

=====

First-principles (PBE-GGA) data for an optimized crystal structure of Li3U3NiSe8, as listed in the Alexandria database.

- Energy relative to the elements, uncorrected: -15.19 eV/f.u.
- VASP energy: -5.90 eV/atom
- Density: 6.7 g/cm³
- Symmetry: R-3m

Cell lengths 7.858, 7.858, 7.999 Å; angles 119.43, 89.99, 120.00 degrees
Fractional coordinates of all 15 atoms:
1 Ni 0.000 0.000 0.500
2 Li 0.000 0.000 0.000
3 Li 0.500 0.500 0.000
4 Li 0.000 0.500 0.000
5 U 0.000 0.500 0.500
6 U 0.500 0.000 0.500
7 U 0.500 0.500 0.500
8 Se 0.767 0.003 0.740
9 Se 0.236 0.003 0.740
10 Se 0.236 0.472 0.739
11 Se 0.245 0.490 0.235
12 Se 0.233 0.997 0.260
13 Se 0.764 0.528 0.261
14 Se 0.755 0.510 0.765
15 Se 0.764 0.997 0.260

=====

First-principles (PBE-GGA) data for an optimized crystal structure of Li3U2NiSe6, as listed in the Alexandria database.

- Energy relative to the elements, uncorrected: -11.90 eV/f.u.
- VASP energy: -5.58 eV/atom
- Density: 6.6 g/cm³
- Symmetry: C2/m

Cell lengths 6.762, 6.762, 6.903 Å; angles 99.30, 99.30, 120.13 degrees
Fractional coordinates of all 12 atoms:
1 U 0.332 0.668 0.000
2 U 0.668 0.332 0.000
3 Ni 0.000 0.000 0.000
4 Se 0.401 0.084 0.252
5 Se 0.916 0.599 0.748
6 Se 0.599 0.916 0.748
7 Se 0.768 0.768 0.244
8 Se 0.232 0.232 0.756
9 Se 0.084 0.401 0.252
10 Li 0.168 0.832 0.500
11 Li 0.500 0.500 0.500
12 Li 0.832 0.168 0.500

=====

First-principles (PBE-GGA) data for an optimized crystal structure of Li4U3NiSe8, as listed in the Alexandria database.

- Energy relative to the elements, uncorrected: -16.65 eV/f.u.
- VASP energy: -5.74 eV/atom
- Density: 6.8 g/cm³
- Symmetry: C2/m

Cell lengths 7.854, 7.973, 7.860 Å; angles 119.55, 119.98, 90.00 degrees
Fractional coordinates of all 16 atoms:
1 Li 0.000 0.000 0.000
2 Li 0.000 0.000 0.500
3 Li 0.500 0.000 0.000
4 Li 0.500 0.000 0.500
5 U 0.500 0.500 0.500
6 U 0.500 0.500 0.000
7 U 0.000 0.500 0.500
8 Ni 0.000 0.500 0.000
9 Se 0.235 0.253 0.994
10 Se 0.755 0.766 0.511
11 Se 0.758 0.252 0.516
12 Se 0.759 0.253 0.994
13 Se 0.245 0.234 0.489
14 Se 0.765 0.747 0.006
15 Se 0.242 0.748 0.484
16 Se 0.241 0.747 0.006

=====

First-principles (PBE-GGA) data for an optimized crystal structure of LiUNiSe3, as listed in the Alexandria database.

- Energy relative to the elements, uncorrected: -5.67 eV/f.u.
- VASP energy: -5.85 eV/atom
- Density: 7.2 g/cm³
- Symmetry: P2_1/m

Cell lengths 3.809, 7.768, 8.554 Å; angles 99.89, 90.00, 90.00 degrees
Fractional coordinates of all 12 atoms:
1 Li 0.250 0.649 0.156
2 Li 0.750 0.351 0.844
3 Se 0.750 0.909 0.137
4 Se 0.750 0.403 0.160
5 Se 0.250 0.760 0.481
6 Se 0.250 0.597 0.840
7 Se 0.250 0.091 0.863
8 Se 0.750 0.240 0.519
9 U 0.750 0.828 0.748
10 U 0.250 0.172 0.252
11 Ni 0.750 0.923 0.420
12 Ni 0.250 0.077 0.580

=====

First-principles (PBE-GGA) data for an optimized crystal structure of LiVNiSe3, as listed in the Alexandria database.

- Energy relative to the elements, uncorrected: -4.23 eV/f.u.
- VASP energy: -5.25 eV/atom
- Density: 5.4 g/cm³
- Symmetry: P2_1/m

Cell lengths 3.496, 7.244, 8.918 Å; angles 106.99, 90.00, 90.00 degrees
Fractional coordinates of all 12 atoms:
1 Se 0.750 0.269 0.537
2 Se 0.250 0.077 0.859
3 Se 0.750 0.428 0.129
4 Se 0.250 0.731 0.463
5 Se 0.250 0.572 0.871
6 Se 0.750 0.923 0.141
7 Ni 0.250 0.087 0.601
8 Ni 0.750 0.913 0.399
9 Li 0.250 0.243 0.276
10 Li 0.750 0.757 0.724
11 V 0.750 0.299 0.816
12 V 0.250 0.701 0.184

=====

First-principles (PBE-GGA) data for an optimized crystal structure of Li3Zr2NiSe6, as listed in the Alexandria database.

- Energy relative to the elements, uncorrected: -13.02 eV/f.u.
- VASP energy: -5.21 eV/atom
- Density: 5.1 g/cm³
- Symmetry: C2/m

Cell lengths 6.587, 6.587, 6.787 Å; angles 99.33, 99.33, 120.06 degrees
Fractional coordinates of all 12 atoms:
1 Se 0.758 0.758 0.242
2 Se 0.597 0.920 0.759
3 Se 0.080 0.403 0.241
4 Se 0.403 0.080 0.241
5 Se 0.242 0.242 0.758
6 Se 0.920 0.597 0.759
7 Li 0.828 0.172 0.500
8 Li 0.500 0.500 0.500
9 Li 0.172 0.828 0.500
10 Zr 0.335 0.665 0.000
11 Zr 0.665 0.335 0.000
12 Ni 0.000 0.000 0.000

=====

First-principles (PBE-GGA) data for an optimized crystal structure of Li3Zr3NiSe8, as listed in the Alexandria database.

- Energy relative to the elements, uncorrected: -16.86 eV/f.u.
- VASP energy: -5.46 eV/atom
- Density: 5.1 g/cm³
- Symmetry: C2/m

Cell lengths 7.551, 7.557, 7.866 Å; angles 118.76, 89.99, 119.98 degrees
Fractional coordinates of all 15 atoms:
1 Se 0.750 0.501 0.751
2 Se 0.758 0.997 0.736
3 Se 0.761 0.522 0.264
4 Se 0.242 0.003 0.264
5 Se 0.761 0.003 0.264
6 Se 0.239 0.478 0.736
7 Se 0.250 0.499 0.249
8 Se 0.239 0.997 0.736
9 Zr 0.500 0.000 0.500
10 Zr 0.500 0.500 0.500
11 Zr 0.000 0.500 0.500
12 Li 0.000 0.000 0.000
13 Li 0.000 0.500 0.000
14 Li 0.500 0.500 0.000
15 Ni 0.000 0.000 0.500

=====

First-principles (PBE-GGA) data for an optimized crystal structure of Li2SiNi, as listed in the Alexandria database.

- Energy relative to the elements, uncorrected: -1.14 eV/f.u.
- VASP energy: -4.04 eV/atom
- Density: 3.3 g/cm³
- Symmetry: Cm

Cell lengths 4.370, 4.370, 4.514 Å; angles 72.36, 72.36, 37.73 degrees
Fractional coordinates of all 4 atoms:
1 Li 0.997 0.997 0.958
2 Li 0.760 0.760 0.790
3 Si 0.236 0.236 0.334
4 Ni 0.507 0.507 0.417

=====

First-principles (PBE-GGA) data for an optimized crystal structure of LiSi3Ni3, as listed in the Alexandria database.

- Energy relative to the elements, uncorrected: 0.28 eV/f.u.
- VASP energy: -5.03 eV/atom
- Density: 3.6 g/cm³
- Symmetry: Pm-3n

Cell lengths 6.270, 6.270, 6.270 Å; angles 90.00, 90.00, 90.00 degrees
Fractional coordinates of all 14 atoms:
1 Li 0.500 0.500 0.500
2 Li 0.000 0.000 0.000
3 Si 0.500 0.750 0.000
4 Si 0.000 0.500 0.250
5 Si 0.000 0.500 0.750
6 Si 0.750 0.000 0.500
7 Si 0.500 0.250 0.000
8 Si 0.250 0.000 0.500
9 Ni 0.500 0.000 0.750
10 Ni 0.750 0.500 0.000
11 Ni 0.500 0.000 0.250
12 Ni 0.250 0.500 0.000
13 Ni 0.000 0.250 0.500
14 Ni 0.000 0.750 0.500

=====

First-principles (PBE-GGA) data for an optimized crystal structure of Li3Si4Ni4, as listed in the Alexandria database.

- Energy relative to the elements, uncorrected: -4.30 eV/f.u.
- VASP energy: -4.99 eV/atom
- Density: 3.7 g/cm³
- Symmetry: I-43m

Cell lengths 5.980, 5.980, 5.980 Å; angles 109.47, 109.47, 109.47 degrees
Fractional coordinates of all 11 atoms:
1 Ni 0.000 0.262 0.000
2 Ni 0.000 0.000 0.262
3 Ni 0.262 0.000 0.000
4 Ni 0.738 0.738 0.738
5 Li 0.000 0.500 0.500
6 Li 0.500 0.000 0.500
7 Li 0.500 0.500 0.000
8 Si 0.621 0.000 0.000
9 Si 0.379 0.379 0.379
10 Si 0.000 0.621 0.000
11 Si 0.000 0.000 0.621

=====

First-principles (PBE-GGA) data for an optimized crystal structure of Li2SiNi, as listed in the Alexandria database.

- Energy relative to the elements, uncorrected: -1.06 eV/f.u.
- VASP energy: -4.02 eV/atom
- Density: 3.5 g/cm³
- Symmetry: Immm

Cell lengths 4.977, 4.977, 3.941 Å; angles 66.63, 66.63, 32.21 degrees
Fractional coordinates of all 4 atoms:
1 Si 0.250 0.250 0.250
2 Ni 0.750 0.750 0.750
3 Li 0.494 0.494 0.506
4 Li 0.006 0.006 0.994

=====

First-principles (PBE-GGA) data for an optimized crystal structure of Li2Si7Ni12, as listed in the Alexandria database.

- Energy relative to the elements, uncorrected: -10.65 eV/f.u.
- VASP energy: -5.80 eV/atom
- Density: 6.0 g/cm³
- Symmetry: P-6

Cell lengths 3.338, 9.383, 9.383 Å; angles 120.00, 90.00, 90.00 degrees
Fractional coordinates of all 21 atoms:
1 Ni 0.500 0.894 0.607
2 Ni 0.000 0.956 0.227
3 Ni 0.000 0.773 0.729
4 Ni 0.000 0.490 0.939
5 Ni 0.500 0.198 0.433
6 Ni 0.500 0.714 0.106
7 Ni 0.000 0.450 0.510
8 Ni 0.000 0.271 0.044
9 Ni 0.500 0.567 0.764
10 Ni 0.000 0.061 0.550
11 Ni 0.500 0.236 0.802
12 Ni 0.500 0.393 0.286
13 Si 0.000 0.045 0.790
14 Si 0.000 0.333 0.667
15 Si 0.500 0.455 0.082
16 Si 0.500 0.918 0.373
17 Si 0.000 0.210 0.255
18 Si 0.500 0.627 0.545
19 Si 0.000 0.745 0.955
20 Li 0.500 0.000 0.000
21 Li 0.000 0.667 0.333

=====

First-principles (PBE-GGA) data for an optimized crystal structure of Li2SiNi, as listed in the Alexandria database.

- Energy relative to the elements, uncorrected: -0.20 eV/f.u.
- VASP energy: -3.81 eV/atom
- Density: 3.3 g/cm³
- Symmetry: P4/mmm

Cell lengths 2.506, 2.506, 8.059 Å; angles 90.00, 90.00, 90.00 degrees
Fractional coordinates of all 4 atoms:
1 Li 0.000 0.000 0.008
2 Li 0.000 0.000 0.492
3 Si 0.500 0.500 0.750
4 Ni 0.500 0.500 0.250

=====

First-principles (PBE-GGA) data for an optimized crystal structure of Li2SiNi, as listed in the Alexandria database.

- Energy relative to the elements, uncorrected: -1.04 eV/f.u.
- VASP energy: -4.02 eV/atom
- Density: 3.5 g/cm³
- Symmetry: Pmmm

Cell lengths 2.825, 3.899, 4.325 Å; angles 90.00, 90.00, 90.00 degrees
Fractional coordinates of all 4 atoms:
1 Li 0.500 0.500 0.000
2 Li 0.000 0.000 0.000
3 Si 0.000 0.500 0.500
4 Ni 0.500 0.000 0.500

=====

First-principles (PBE-GGA) data for an optimized crystal structure of LiSi6Ni8, as listed in the Alexandria database.

- Energy relative to the elements, uncorrected: -5.39 eV/f.u.
- VASP energy: -5.74 eV/atom
- Density: 5.8 g/cm³
- Symmetry: R-3

Cell lengths 6.724, 6.724, 6.120 Å; angles 56.68, 56.68, 60.00 degrees
Fractional coordinates of all 15 atoms:
1 Si 0.282 0.595 0.189
2 Si 0.405 0.066 0.811
3 Si 0.718 0.405 0.811
4 Si 0.595 0.934 0.189
5 Si 0.934 0.282 0.189
6 Si 0.066 0.718 0.811
7 Ni 0.217 0.896 0.323
8 Ni 0.783 0.104 0.677
9 Ni 0.896 0.564 0.323
10 Ni 0.667 0.667 0.998
11 Ni 0.333 0.333 0.002
12 Ni 0.436 0.783 0.677
13 Ni 0.564 0.217 0.323
14 Ni 0.104 0.436 0.677
15 Li 0.000 0.000 0.000

=====

First-principles (PBE-GGA) data for an optimized crystal structure of LiSi2Ni3, as listed in the Alexandria database.

- Energy relative to the elements, uncorrected: -2.62 eV/f.u.
- VASP energy: -5.45 eV/atom
- Density: 5.3 g/cm³
- Symmetry: C2/m

Cell lengths 3.767, 8.255, 8.248 Å; angles 115.54, 90.00, 103.19 degrees
Fractional coordinates of all 18 atoms:
1 Ni 0.606 0.212 0.159
2 Ni 0.305 0.609 0.024
3 Ni 0.796 0.591 0.600
4 Ni 0.500 0.000 0.500
5 Ni 0.041 0.082 0.342
6 Ni 0.959 0.918 0.658
7 Ni 0.695 0.391 0.976
8 Ni 0.204 0.409 0.400
9 Ni 0.394 0.788 0.841
10 Si 0.461 0.922 0.182
11 Si 0.539 0.078 0.818
12 Si 0.363 0.726 0.536
13 Si 0.637 0.274 0.464
14 Si 0.192 0.385 0.122
15 Si 0.808 0.615 0.878
16 Li 0.000 0.000 0.000
17 Li 0.861 0.722 0.290
18 Li 0.139 0.278 0.710

=====

First-principles (PBE-GGA) data for an optimized crystal structure of LiSi2Ni4, as listed in the Alexandria database.

- Energy relative to the elements, uncorrected: 1.40 eV/f.u.
- VASP energy: -4.93 eV/atom
- Density: 5.8 g/cm³
- Symmetry: I4/mmm

Cell lengths 3.785, 3.785, 6.505 Å; angles 73.08, 73.08, 90.00 degrees
Fractional coordinates of all 7 atoms:
1 Ni 0.500 0.000 0.000
2 Ni 0.190 0.190 0.620
3 Ni 0.000 0.500 0.000
4 Ni 0.810 0.810 0.380
5 Si 0.376 0.376 0.249
6 Si 0.624 0.624 0.751
7 Li 0.000 0.000 0.000

=====

First-principles (PBE-GGA) data for an optimized crystal structure of LiSiNi3, as listed in the Alexandria database.

- Energy relative to the elements, uncorrected: -1.42 eV/f.u.
- VASP energy: -5.22 eV/atom
- Density: 5.6 g/cm³
- Symmetry: Cmcm

Cell lengths 4.398, 6.210, 6.210 Å; angles 132.07, 90.00, 90.00 degrees
Fractional coordinates of all 10 atoms:
1 Li 0.750 0.423 0.577
2 Li 0.250 0.577 0.423
3 Si 0.750 0.826 0.174
4 Si 0.250 0.174 0.826
5 Ni 0.250 0.595 0.939
6 Ni 0.250 0.061 0.405
7 Ni 0.750 0.939 0.595
8 Ni 0.000 0.000 0.000
9 Ni 0.500 0.000 0.000
10 Ni 0.750 0.405 0.061

=====

First-principles (PBE-GGA) data for an optimized crystal structure of Li3SiNi, as listed in the Alexandria database.

- Energy relative to the elements, uncorrected: 2.50 eV/f.u.
- VASP energy: -2.89 eV/atom
- Density: 2.2 g/cm³
- Symmetry: Pm-3m

Cell lengths 4.361, 4.361, 4.361 Å; angles 90.00, 90.00, 90.00 degrees
Fractional coordinates of all 5 atoms:
1 Si 0.500 0.500 0.500
2 Li 0.500 0.000 0.000
3 Li 0.000 0.500 0.000
4 Li 0.000 0.000 0.500
5 Ni 0.000 0.000 0.000